BiIrS | PBE-GGA | optimized geometry

```
BiIrS
1.0
6.461 0.000 0.000
0.000 6.210 0.000
-1.614 0.000 6.253
Bi Ir S
4 4 4
direct
0.149 0.129 0.354 Bi
0.149 0.371 0.854 Bi
0.851 0.629 0.146 Bi
0.851 0.871 0.646 Bi
0.279 0.523 0.262 Ir
0.279 0.977 0.762 Ir
0.721 0.023 0.238 Ir
0.721 0.477 0.738 Ir
0.364 0.625 0.640 S
0.364 0.875 0.140 S
0.636 0.125 0.860 S
0.636 0.375 0.360 S
```

Density in Mg/m³: 11.47
Symmetry: P2_1/c (14)
Formation energy from raw total energies in eV per atom: -0.218